# PBEsol RbHgMo2Ru, optimized geometry
data_RbHgMo2Ru
_symmetry_space_group_name_H-M 'P 1'
_symmetry_Int_Tables_number 1
_cell_length_a 4.6443
_cell_length_b 4.6443
_cell_length_c 4.5863
_cell_angle_alpha 90.00
_cell_angle_beta 90.00
_cell_angle_gamma 90.00
loop_
_symmetry_equiv_pos_as_xyz
'x,y,z'
loop_
_atom_site_label
_atom_site_type_symbol
_atom_site_fract_x
_atom_site_fract_y
_atom_site_fract_z
Rb1 Rb 0.0000 0.0000 0.0000
Hg1 Hg 0.5000 0.5000 0.5000
Mo1 Mo 0.0000 0.5000 0.0000
Mo2 Mo 0.5000 0.0000 0.0000
Ru1 Ru 0.0000 0.0000 0.5000
# E: -3.9567 eV/atom
# energy relative to the elements: 3.103 eV per atom
# DOS at the Fermi energy: 7.3 states/eV/f.u.
# SG: P4/mmm (123)
# magnetic moment: 1.32 μB per cell

=====

# PBEsol B2RuF, optimized geometry
data_B2RuF
_symmetry_space_group_name_H-M 'P 1'
_symmetry_Int_Tables_number 1
_cell_length_a 5.5463
_cell_length_b 5.5463
_cell_length_c 5.5463
_cell_angle_alpha 131.07
_cell_angle_beta 131.07
_cell_angle_gamma 71.70
loop_
_symmetry_equiv_pos_as_xyz
'x,y,z'
loop_
_atom_site_label
_atom_site_type_symbol
_atom_site_fract_x
_atom_site_fract_y
_atom_site_fract_z
B1 B 0.1196 0.6250 0.9946
B2 B 0.3750 0.3696 0.4946
B3 B 0.6304 0.1250 0.0054
B4 B 0.8750 0.8804 0.5054
Ru1 Ru 0.0000 0.0000 0.0000
Ru2 Ru 0.7500 0.2500 0.5000
F1 F 0.2500 0.7500 0.5000
F2 F 0.5000 0.5000 0.0000
# E: -6.0900 eV/atom
# ΔE_f (raw): 443 meV/atom
# DOS at the Fermi energy: 1.2 states/eV/f.u.
# SG: I-42d (122)
# magnetic moment: 0.00 μB per cell

=====

# PBEsol Zn2HAu, optimized geometry
data_Zn2HAu
_symmetry_space_group_name_H-M 'P 1'
_symmetry_Int_Tables_number 1
_cell_length_a 6.2149
_cell_length_b 6.2149
_cell_length_c 6.2149
_cell_angle_alpha 136.01
_cell_angle_beta 136.01
_cell_angle_gamma 63.97
loop_
_symmetry_equiv_pos_as_xyz
'x,y,z'
loop_
_atom_site_label
_atom_site_type_symbol
_atom_site_fract_x
_atom_site_fract_y
_atom_site_fract_z
Zn1 Zn 0.3750 0.2243 0.3493
Zn2 Zn 0.7757 0.1250 0.1507
Zn3 Zn 0.8750 0.0257 0.6507
Zn4 Zn 0.9743 0.6250 0.8493
H1 H 0.0000 0.0000 0.0000
H2 H 0.7500 0.2500 0.5000
Au1 Au 0.2500 0.7500 0.5000
Au2 Au 0.5000 0.5000 0.0000
# E: -2.3370 eV/atom
# DOS at the Fermi energy: 1.1 states/eV/f.u.
# SG: I-42d (122)
# magnetic moment: 0.00 μB per cell